No. 1
LiTc3Au: optimized geometry, GGA-PBEsol.

Geometry as POSCAR:
```
LiTc3Au
1.0
-3.6172 -0.5611 -1.7977
0.8285 -3.9700 -0.4279
-1.6912 -0.7448 3.6353
Tc Au Li
3 1 1
Cartesian
-1.8086 -0.2806 -0.8988
-0.8456 -0.3724 1.8177
0.4143 -1.9850 -0.2139
-2.2399 -2.6379 0.7049
0.0000 0.0000 0.0000
```

Space group: Pm-3m, No. 221
Formation enthalpy at 0 K, eV/atom: 1.170
DFT total energy, eV for the cell shown: -33.8



No. 2
Li2TcAu: optimized geometry, GGA-PBEsol.

Geometry as POSCAR:
```
Li2TcAu
1.0
-2.1275 -0.2542 1.4268
-1.0329 -3.7973 -2.2167
2.6940 -2.6227 3.2375
Li Tc Au
2 1 1
Cartesian
0.2789 -2.2128 3.6607
0.2876 -0.6641 1.0036
-1.5802 -2.0257 -0.3950
0.8306 -3.2100 0.5104
```

Space group: P2/m, No. 10
ΔE to the lowest computed polymorph, eV/f.u.: 0.03
Formation enthalpy at 0 K, eV/atom: 0.087
DFT total energy, eV for the cell shown: -18.8